1) The following is a PBE calculation of a relaxed structure of IrPb3Br, from Alexandria via LeMat-Bulk.

Lattice parameters (Å, degrees): 5.4056 5.4056 5.4056 90.00 90.00 90.00
Closest atoms and distances in Å follow each position.
Space group Pm-3m (No. 221)
Asymmetric unit:
1 Ir 0.0000 0.0000 0.0000 x1  6 Pb 2.70
2 Pb 0.0000 0.0000 0.5000 x3  2 Ir 2.70
3 Br 0.5000 0.5000 0.5000 x1  12 Pb 3.82

Calculated values
The density of states at the Fermi level is 4.78 states/eV per cell.

---

2) The following is a PBE calculation of a relaxed structure of IrPb3Br, from Alexandria via LeMat-Bulk.

Lattice parameters (Å, degrees): 5.5436 5.5436 5.5436 90.00 90.00 90.00
Closest atoms and distances in Å follow each position.
Space group Pm-3m (No. 221)
Asymmetric unit:
1 Ir 0.0000 0.0000 0.0000 x1  12 Pb 3.92
2 Pb 0.0000 0.5000 0.5000 x3  2 Br 2.77
3 Br 0.5000 0.5000 0.5000 x1  6 Pb 2.77

Calculated values
The density of states at the Fermi level is 7.54 states/eV per cell.

---

Most stable: 1). Least stable: 2).

---

1) The following is a PBE calculation of a relaxed structure of Ir2PdBr, from Alexandria via LeMat-Bulk.

Lattice parameters (Å, degrees): 3.7696 3.7696 19.5575 90.00 90.00 90.00
Closest atoms and distances in Å follow each position.
Space group I-42d (No. 122)
Asymmetric unit:
1 Ir 0.2315 0.2500 0.1250 x8  4 Ir 2.57-2.77, 2 Pd 2.76, 2 Br 2.81
2 Pd 0.0000 0.0000 0.0000 x4  4 Br 2.67, 4 Ir 2.76
3 Br 0.0000 0.0000 0.5000 x4  4 Pd 2.67, 4 Ir 2.81

Calculated values
The density of states at the Fermi level is 27.18 states/eV per cell.

---

2) The following is a PBE calculation of a relaxed structure of Ir2PdBr, from Alexandria via LeMat-Bulk.

Lattice parameters (Å, degrees): 6.3681 6.3681 6.3681 90.00 90.00 90.00
Closest atoms and distances in Å follow each position.
Space group Fm-3m (No. 225)
Asymmetric unit:
1 Ir 0.2500 0.2500 0.2500 x8  4 Br 2.76, 4 Pd 2.76
2 Pd 0.0000 0.0000 0.0000 x4  8 Ir 2.76
3 Br 0.0000 0.0000 0.5000 x4  8 Ir 2.76

Calculated values
The density of states at the Fermi level is 20.57 states/eV per cell.

---

Most stable: 1). Least stable: 2).

---

1) The following is a PBE calculation of a relaxed structure of Ir2Pd2Br, from Alexandria via LeMat-Bulk.

Lattice parameters (Å, degrees): 7.9914 7.9914 2.7041 90.00 90.00 90.00
Closest atoms and distances in Å follow each position.
Space group P4/mbm (No. 127)
Asymmetric unit:
1 Ir 0.1177 0.3823 0.0000 x4  3 Ir 2.66-2.70, 6 Pd 2.69-2.75
2 Pd 0.1764 0.6764 0.5000 x4  6 Ir 2.69-2.75, 2 Pd 2.70
3 Br 0.0000 0.0000 0.0000 x2  2 Br 2.70

Calculated values
The density of states at the Fermi level is 15.24 states/eV per cell.

---

2) The following is a PBE calculation of a relaxed structure of Ir2Pd2Br, from Alexandria via LeMat-Bulk.

Lattice parameters (Å, degrees): 3.8616 3.8616 12.1409 90.00 90.00 90.00
Closest atoms and distances in Å follow each position.
Space group I4/mmm (No. 139)
Asymmetric unit:
1 Ir 0.0000 0.0000 0.0994 x4  1 Ir 2.41, 4 Pd 2.66
2 Pd 0.0000 0.5000 0.2500 x4  4 Ir 2.66, 4 Pd 2.73
3 Br 0.0000 0.0000 0.5000 x2  8 Ir 2.99

Calculated values
The density of states at the Fermi level is 19.90 states/eV per cell.

---

Most stable: 1). Least stable: 2).

---

1) The following is a PBE calculation of a relaxed structure of IrPdSeBr2, from Alexandria via LeMat-Bulk.

Lattice parameters (Å, degrees): 4.9893 4.9893 5.0098 90.00 90.00 90.00
Closest atoms and distances in Å follow each position.
Space group P4/mmm (No. 123)
Asymmetric unit:
1 Ir 0.0000 0.0000 0.0000 x1  4 Se 3.53, 8 Br 3.54
2 Pd 0.5000 0.5000 0.5000 x1  4 Br 2.49, 2 Se 2.50
3 Se 0.5000 0.5000 0.0000 x1  2 Pd 2.50
4 Br 0.0000 0.5000 0.5000 x2  2 Pd 2.49

Calculated values
The density of states at the Fermi level is 8.40 states/eV per cell.

---

2) The following is a PBE calculation of a relaxed structure of IrPdSeBr2, from Alexandria via LeMat-Bulk.

Lattice parameters (Å, degrees): 5.2805 5.2805 4.6281 90.00 90.00 90.00
Closest atoms and distances in Å follow each position.
Space group P4/mmm (No. 123)
Asymmetric unit:
1 Ir 0.0000 0.0000 0.0000 x1  2 Se 2.31
2 Pd 0.5000 0.5000 0.5000 x1  8 Br 3.51, 4 Se 3.73
3 Se 0.0000 0.0000 0.5000 x1  2 Ir 2.31
4 Br 0.0000 0.5000 0.0000 x2  2 Ir 2.64

Calculated values
The density of states at the Fermi level is 10.76 states/eV per cell.

---

Most stable: 2). Least stable: 1).

---

1) The following is a PBE calculation of a relaxed structure of PrIrBr, from Alexandria via LeMat-Bulk.

Lattice parameters (Å, degrees): 7.5322 4.3494 11.2402 90.00 91.76 90.00
Closest atoms and distances in Å follow each position.
Space group C2/m (No. 12)
Asymmetric unit:
1 Pr 0.0079 0.0000 0.1712 x4  3 Br 3.13, 6 Ir 3.14-3.18
2 Ir 0.1665 0.5000 0.9969 x4  3 Ir 2.51
3 Br 0.1823 0.5000 0.3380 x4  3 Pr 3.13

Calculated values
The density of states at the Fermi level is 4.98 states/eV per cell.

---

2) The following is a PBE calculation of a relaxed structure of PrIrBr, from Alexandria via LeMat-Bulk.

Lattice parameters (Å, degrees): 21.4101 4.1429 3.9942 90.00 100.41 90.00
Closest atoms and distances in Å follow each position.
Space group C2/m (No. 12)
Asymmetric unit:
1 Pr 0.1676 0.0000 0.4202 x4  6 Ir 3.03-3.21, 4 Br 3.35-3.36
2 Ir 0.2132 0.5000 0.9644 x4  2 Ir 2.59, 1 Br 2.68
3 Br 0.0859 0.5000 0.8432 x4  1 Ir 2.68

Calculated values
The density of states at the Fermi level is 4.46 states/eV per cell.

---

Most stable: 1). Least stable: 2).

---

1) The following is a PBE calculation of a relaxed structure of IrPtBr2, from Alexandria via LeMat-Bulk.

Lattice parameters (Å, degrees): 2.9023 5.7367 10.2886 90.00 90.00 90.00
Closest atoms and distances in Å follow each position.
Space group Cmm2 (No. 35)
Asymmetric unit:
1 Ir 0.0000 0.0000 0.0000 x2  2 Br 2.56, 2 Pt 2.61
2 Pt 0.0000 0.5000 0.2112 x2  2 Ir 2.61, 2 Br 2.68, 2 Pt 2.90
3 Br 0.0000 0.0000 0.4297 x2  2 Pt 2.68, 2 Br 2.90
4 Br 0.0000 0.5000 0.7952 x2  2 Ir 2.56

Calculated values
The density of states at the Fermi level is 8.73 states/eV per cell.

---

2) The following is a PBE calculation of a relaxed structure of IrPtBr2, from Alexandria via LeMat-Bulk.

Lattice parameters (Å, degrees): 7.0365 7.0365 6.3595 90.00 90.00 90.00
Closest atoms and distances in Å follow each position.
Space group I-42d (No. 122)
Asymmetric unit:
1 Ir 0.0000 0.0000 0.0000 x4  4 Br 2.51
2 Pt 0.0000 0.0000 0.5000 x4  4 Br 2.72
3 Br 0.2286 0.7500 0.1250 x8  2 Ir 2.51, 2 Pt 2.72

Calculated values
The density of states at the Fermi level is 14.08 states/eV per cell.

---

Most stable: 1). Least stable: 2).